# 1
DFT (GGA-PBE) results for a relaxed RePAuO crystal.

total energy: -0.458 Ry per atom

Cell lengths 4.417, 4.417, 5.458 Å; angles 90.00, 90.00, 90.00 degrees
Positions (direct):
Re 0.250 0.750 0.000
Re 0.750 0.250 0.000
P 0.250 0.250 0.178
P 0.750 0.750 0.822
Au 0.250 0.250 0.648
Au 0.750 0.750 0.352
O 0.250 0.750 0.500
O 0.750 0.250 0.500

=====

# 2
DFT (GGA-PBE) results for a relaxed RePAuO crystal.

total energy: -0.497 Ry per atom

Cell lengths 3.789, 6.168, 5.532 Å; angles 90.00, 90.00, 90.00 degrees
Positions (direct):
Re 0.000 0.117 0.000
Re 0.000 0.883 0.500
P 0.000 0.250 0.403
P 0.000 0.750 0.903
Au 0.500 0.471 0.471
Au 0.500 0.529 0.971
O 0.500 0.116 0.989
O 0.500 0.884 0.489

=====

# 3
DFT (GGA-PBE) results for a relaxed RePAuO crystal.

total energy: -0.453 Ry per atom

Cell lengths 4.078, 4.078, 6.658 Å; angles 90.00, 90.00, 90.00 degrees
Positions (direct):
Re 0.250 0.750 0.000
Re 0.750 0.250 0.000
P 0.250 0.250 0.180
P 0.750 0.750 0.820
Au 0.250 0.250 0.672
Au 0.750 0.750 0.328
O 0.250 0.750 0.500
O 0.750 0.250 0.500

=====

# 4
DFT (GGA-PBE) results for a relaxed RePAuO crystal.

total energy: -0.454 Ry per atom

Cell lengths 3.507, 3.507, 9.513 Å; angles 90.00, 90.00, 90.00 degrees
Positions (direct):
Re 0.250 0.250 0.131
Re 0.750 0.750 0.869
P 0.250 0.250 0.747
P 0.750 0.750 0.253
Au 0.250 0.750 0.500
Au 0.750 0.250 0.500
O 0.250 0.750 0.000
O 0.750 0.250 0.000

=====

# 5
DFT (GGA-PBE) results for a relaxed RePAuO crystal.

total energy: -0.506 Ry per atom

Cell lengths 2.980, 6.119, 7.343 Å; angles 90.00, 90.00, 90.00 degrees
Positions (direct):
Re 0.000 0.013 0.000
Re 0.000 0.987 0.500
P 0.500 0.295 0.920
P 0.500 0.705 0.420
Au 0.500 0.386 0.605
Au 0.500 0.614 0.105
O 0.000 0.070 0.255
O 0.000 0.930 0.755

=====

# 6
DFT (GGA-PBE) results for a relaxed SmPAuO crystal.

total energy: -0.453 Ry per atom

Cell lengths 4.106, 4.106, 8.367 Å; angles 90.00, 90.00, 90.00 degrees
Positions (direct):
Sm 0.250 0.250 0.132
Sm 0.750 0.750 0.868
P 0.250 0.250 0.684
P 0.750 0.750 0.316
Au 0.250 0.750 0.500
Au 0.750 0.250 0.500
O 0.250 0.750 0.000
O 0.750 0.250 0.000

=====

# 7
DFT (GGA-PBE) results for a relaxed SmPAuO crystal.

total energy: -0.427 Ry per atom

Cell lengths 3.850, 7.496, 6.017 Å; angles 90.00, 90.00, 90.00 degrees
Positions (direct):
Sm 0.000 0.227 0.000
Sm 0.000 0.773 0.500
P 0.000 0.155 0.501
P 0.000 0.845 0.001
Au 0.500 0.335 0.506
Au 0.500 0.665 0.006
O 0.500 0.362 0.008
O 0.500 0.638 0.508

=====

# 8
DFT (GGA-PBE) results for a relaxed SmPAuO crystal.

total energy: -0.431 Ry per atom

Cell lengths 4.840, 6.336, 4.621 Å; angles 90.00, 90.00, 90.00 degrees
Positions (direct):
Sm 0.000 0.222 0.000
Sm 0.000 0.778 0.500
P 0.500 0.497 0.752
P 0.500 0.503 0.252
Au 0.500 0.131 0.503
Au 0.500 0.869 0.003
O 0.000 0.135 0.498
O 0.000 0.865 0.998